[1]
# GGA-PBE MnCu2Ag2, optimized geometry
# Crystal system ... tetragonal
data_MnCu2Ag2
_chemical_formula_sum 'Mn2 Cu4 Ag4'
_symmetry_space_group_name_H-M 'I 4/m m m'
_symmetry_Int_Tables_number 139
_symmetry_space_group_name_Hall '-I 4 2'
_cell_length_a 3.421
_cell_length_b 3.421
_cell_length_c 14.062
_cell_angle_alpha 90.00
_cell_angle_beta 90.00
_cell_angle_gamma 90.00
loop_
_atom_site_label
_atom_site_fract_x
_atom_site_fract_y
_atom_site_fract_z
Mn1 0.000 0.000 0.000
Cu1 0.000 0.500 0.250
Ag1 0.000 0.000 0.398


[2]
# GGA-PBE Be3MoW, optimized geometry
# Crystal system ... cubic
data_Be3MoW
_chemical_formula_sum 'Be3 Mo1 W1'
_symmetry_space_group_name_H-M 'P m -3 m'
_symmetry_Int_Tables_number 221
_symmetry_space_group_name_Hall '-P 4 2 3'
_cell_length_a 4.140
_cell_length_b 4.140
_cell_length_c 4.140
_cell_angle_alpha 90.00
_cell_angle_beta 90.00
_cell_angle_gamma 90.00
loop_
_atom_site_label
_atom_site_fract_x
_atom_site_fract_y
_atom_site_fract_z
Be1 0.000 0.000 0.500
Mo1 0.500 0.500 0.500
W1 0.000 0.000 0.000


Number 1: ΔE to the lowest computed polymorph 0.000 eV per atom. Number 2: ΔE to the lowest computed polymorph 0.100 eV per atom.